Entry 1:
The following is a DFT calculation (PBE-GGA) of a geometry-optimized ZnAsP structure.

Lattice parameters (Å, degrees): 5.875 5.875 5.875 154.23 133.07 54.31
Sites, in units of the cell vectors:
Zn (0.000, 0.000, 0.000)
As (0.270, 0.270, 0.000)
P (0.493, 0.493, 0.000)

Results
Excess energy over the best structure of this formula in the dataset ... 11.8 meV/atom
Calculated total energy ... -3.43 eV per atom

Entry 2:
The following is a DFT calculation (PBE-GGA) of a geometry-optimized ZnAs4P structure.

Lattice parameters (Å, degrees): 5.520 5.520 5.520 60.00 60.00 60.00
Sites, in units of the cell vectors:
Zn (0.000, 0.000, 0.000)
As (0.375, 0.375, 0.375)
As (0.375, 0.375, 0.875)
As (0.375, 0.875, 0.375)
As (0.875, 0.375, 0.375)
P (0.750, 0.750, 0.750)

Results
Calculated total energy ... -3.55 eV per atom

Entry 3:
The following is a DFT calculation (PBE-GGA) of a geometry-optimized Zn5As2P structure.

Lattice parameters (Å, degrees): 6.711 6.711 13.258 90.00 90.00 141.65
Sites, in units of the cell vectors:
Zn (0.056, 0.944, 0.605)
Zn (0.056, 0.944, 0.895)
Zn (0.248, 0.752, 0.250)
Zn (0.273, 0.727, 0.578)
Zn (0.273, 0.727, 0.922)
Zn (0.727, 0.273, 0.078)
Zn (0.727, 0.273, 0.422)
Zn (0.752, 0.248, 0.750)
Zn (0.944, 0.056, 0.105)
Zn (0.944, 0.056, 0.395)
As (0.136, 0.864, 0.081)
As (0.136, 0.864, 0.419)
As (0.864, 0.136, 0.581)
As (0.864, 0.136, 0.919)
P (0.163, 0.837, 0.750)
P (0.837, 0.163, 0.250)

Results
Calculated total energy ... -2.63 eV per atom

Entry 4:
The following is a DFT calculation (PBE-GGA) of a geometry-optimized ZnAs2P structure.

Lattice parameters (Å, degrees): 2.986 2.986 8.473 90.00 90.00 110.90
Sites, in units of the cell vectors:
Zn (0.000, 0.000, 0.000)
As (0.500, 0.500, 0.264)
As (0.500, 0.500, 0.736)
P (0.000, 0.000, 0.500)

Results
Excess energy over the best structure of this formula in the dataset ... 389.7 meV/atom
Calculated total energy ... -3.54 eV per atom

Entry 5:
The following is a DFT calculation (PBE-GGA) of a geometry-optimized ZnAsP4 structure.

Lattice parameters (Å, degrees): 5.540 5.540 5.540 60.00 60.00 60.00
Sites, in units of the cell vectors:
Zn (0.000, 0.000, 0.000)
As (0.750, 0.750, 0.750)
P (0.351, 0.351, 0.351)
P (0.351, 0.351, 0.946)
P (0.351, 0.946, 0.351)
P (0.946, 0.351, 0.351)

Results
Calculated total energy ... -3.95 eV per atom

Entry 6:
The following is a DFT calculation (PBE-GGA) of a geometry-optimized ZnAsP structure.

Lattice parameters (Å, degrees): 7.461 7.461 7.461 158.99 158.99 29.88
Sites, in units of the cell vectors:
Zn (0.000, 0.000, 0.000)
As (0.346, 0.346, 0.000)
P (0.632, 0.632, 0.000)

Results
Excess energy over the best structure of this formula in the dataset ... 87.3 meV/atom
Calculated total energy ... -3.35 eV per atom